No. 1
Here is an optimized crystal structure of CuP2BrCl from the Alexandria database. Energies are from PBE.

abc: 4.6602 4.6602 4.6420
angles: 90.00 90.00 90.00
Closest atoms and distances in Å follow each position.
Sites, in units of the cell vectors:
1 Cu 0.0000 0.0000 0.0000  2 Cl 2.32, 4 P 2.33
2 P 0.0000 0.5000 0.0000  2 Cu 2.33
3 P 0.5000 0.0000 0.0000  2 Cu 2.33
4 Br 0.5000 0.5000 0.5000  8 P 3.29, 4 Cl 3.30
5 Cl 0.0000 0.0000 0.5000  2 Cu 2.32

Results
Space-group type: P4/mmm (123)
N(E_F): 0.871 states/eV/atom
E_form (uncorrected): 315 kJ/mol of formula units
Total magnetic moment: 0.9 μB per cell
Crystal system: tetragonal

---

No. 2
Here is an optimized crystal structure of BPPbO2 from the Alexandria database. Energies are from PBE.

abc: 3.7883 3.7883 4.1352
angles: 90.00 90.00 90.00
Closest atoms and distances in Å follow each position.
Sites, in units of the cell vectors:
1 B 0.0000 0.0000 0.0000  4 O 1.89, 2 P 2.07
2 P 0.0000 0.0000 0.5000  2 B 2.07
3 Pb 0.5000 0.5000 0.5000  4 P 2.68, 8 O 2.80
4 O 0.0000 0.5000 0.0000  2 B 1.89
5 O 0.5000 0.0000 0.0000  2 B 1.89

Results
Space-group type: P4/mmm (123)
N(E_F): 0.599 states/eV/atom
E_form (uncorrected): 57 kJ/mol of formula units
Total magnetic moment: 0.0 μB per cell
Crystal system: tetragonal

---

No. 3
Here is an optimized crystal structure of TaNb6Os from the Alexandria database. Energies are from PBE.

abc: 5.8312 5.8312 5.8312
angles: 110.71 110.71 110.71
Closest atoms and distances in Å follow each position.
Sites, in units of the cell vectors:
1 Ta 0.0000 0.0000 0.0000  2 Os 2.73, 6 Nb 2.85
2 Nb 0.2504 0.2504 0.7426  6 Nb 2.71-2.95, 1 Os 2.77, 1 Ta 2.85
3 Nb 0.2504 0.7426 0.2504  6 Nb 2.71-2.95, 1 Os 2.77, 1 Ta 2.85
4 Nb 0.2574 0.7496 0.7496  6 Nb 2.71-2.95, 1 Os 2.77, 1 Ta 2.85
5 Nb 0.7426 0.2504 0.2504  6 Nb 2.71-2.95, 1 Os 2.77, 1 Ta 2.85
6 Nb 0.7496 0.2574 0.7496  6 Nb 2.71-2.95, 1 Os 2.77, 1 Ta 2.85
7 Nb 0.7496 0.7496 0.2574  6 Nb 2.71-2.95, 1 Os 2.77, 1 Ta 2.85
8 Os 0.5000 0.5000 0.5000  2 Ta 2.73, 6 Nb 2.77

Results
Space-group type: R-3m (166)
N(E_F): 0.857 states/eV/atom
Total magnetic moment: 0.0 μB per cell
Crystal system: trigonal
DFT formation energy: 0.08 eV per atom

---

No. 4
Here is an optimized crystal structure of InCo2Te from the Alexandria database. Energies are from PBE.

abc: 6.1543 6.1543 6.1543
angles: 150.25 142.84 48.31
Closest atoms and distances in Å follow each position.
Sites, in units of the cell vectors:
1 In 0.0000 0.0000 0.0000  6 Co 2.63-2.75
2 Co 0.4323 0.4323 0.0000  2 Te 2.53, 4 In 2.63
3 Co 0.6715 0.1715 0.5000  4 Te 2.69, 2 In 2.75
4 Te 0.2563 0.7563 0.5000  6 Co 2.53-2.69

Results
Space-group type: Imm2 (44)
N(E_F): 0.825 states/eV/atom
E_form (uncorrected): 109 kJ/mol of formula units
Total magnetic moment: 1.1 μB per cell
Crystal system: orthorhombic

---

No. 5
Here is an optimized crystal structure of KBaPb2 from the Alexandria database. Energies are from PBE.

abc: 6.7966 6.7966 6.7966
angles: 139.85 129.13 66.71
Closest atoms and distances in Å follow each position.
Sites, in units of the cell vectors:
1 K 0.0000 0.0000 0.0000  8 Pb 3.77-3.89, 4 Ba 3.77-4.03
2 Ba 0.7108 0.2108 0.5000  8 Pb 3.73-4.02, 4 K 3.77-4.03
3 Pb 0.2740 0.7740 0.5000  2 Pb 3.10
4 Pb 0.4539 0.4539 0.0000  2 Pb 3.10

Results
Space-group type: Imm2 (44)
N(E_F): 0.472 states/eV/atom
Total magnetic moment: 0.0 μB per cell
Crystal system: orthorhombic
DFT formation energy: -0.33 eV per atom

---

No. 6
Here is an optimized crystal structure of MnAuN3 from the Alexandria database. Energies are from PBE.

abc: 4.0421 4.0421 4.0421
angles: 90.00 90.00 90.00
Closest atoms and distances in Å follow each position.
Sites, in units of the cell vectors:
1 Mn 0.0000 0.0000 0.0000  12 N 2.86
2 Au 0.5000 0.5000 0.5000  6 N 2.02
3 N 0.0000 0.5000 0.5000  2 Au 2.02
4 N 0.5000 0.0000 0.5000  2 Au 2.02
5 N 0.5000 0.5000 0.0000  2 Au 2.02

Results
Space-group type: Pm-3m (221)
N(E_F): 0.583 states/eV/atom
E_form (uncorrected): 1089 kJ/mol of formula units
Total magnetic moment: 2.0 μB per cell
Crystal system: cubic

---

No. 7
Here is an optimized crystal structure of Pr2Er4Sn3O2 from the Alexandria database. Energies are from PBE.

abc: 13.1531 13.1531 13.1531
angles: 159.68 159.68 28.89
Closest atoms and distances in Å follow each position.
Sites, in units of the cell vectors:
1 Pr 0.1954 0.1954 0.0000  1 O 2.67
2 Pr 0.8046 0.8046 0.0000  1 O 2.67
3 Er 0.0814 0.5814 0.5000  2 O 2.33
4 Er 0.4186 0.9186 0.5000  2 O 2.33
5 Er 0.5814 0.0814 0.5000  2 O 2.33
6 Er 0.9186 0.4186 0.5000  2 O 2.33
7 Sn 0.3270 0.3270 0.0000  4 Er 3.29, 5 Pr 3.33-3.35
8 Sn 0.5000 0.5000 0.0000  8 Er 3.11
9 Sn 0.6730 0.6730 0.0000  4 Er 3.29, 5 Pr 3.33-3.35
10 O 0.0905 0.0905 0.0000  4 Er 2.33
11 O 0.9095 0.9095 0.0000  4 Er 2.33

Results
Space-group type: I4/mmm (139)
N(E_F): 0.735 states/eV/atom
E_form (uncorrected): -1638 kJ/mol of formula units
Total magnetic moment: 0.0 μB per cell
Crystal system: tetragonal

---

No. 8
Here is an optimized crystal structure of Er2ScHg from the Alexandria database. Energies are from PBE.

abc: 10.3425 10.3425 10.3425
angles: 19.70 19.70 19.70
Closest atoms and distances in Å follow each position.
Sites, in units of the cell vectors:
1 Er 0.0000 0.0000 0.0000  3 Hg 3.16, 3 Sc 3.35, 6 Er 3.54
2 Er 0.1742 0.1742 0.1742  3 Hg 3.17, 3 Sc 3.34, 6 Er 3.54
3 Sc 0.7539 0.7539 0.7539  6 Er 3.34-3.35, 6 Sc 3.54
4 Hg 0.5873 0.5873 0.5873  6 Er 3.16-3.17, 6 Hg 3.54

Results
Space-group type: R3m (160)
N(E_F): 1.547 states/eV/atom
Total magnetic moment: 0.4 μB per cell
Crystal system: trigonal
DFT formation energy: -0.14 eV per atom